(1)
Density functional theory data (GGA-PBE) for an optimized crystal structure of ZnIrW2.

Cell lengths 6.258, 6.258, 6.258 Å; angles 90.00, 90.00, 90.00 degrees
Space group F-43m (No. 216)
Inequivalent atoms, fractional coordinates:
Zn: 0.000 0.000 0.000 [4 per cell]
Ir: 0.250 0.250 0.250 [4 per cell]
W: 0.000 0.000 0.500 [4 per cell]
W: 0.250 0.250 0.750 [4 per cell]

- density of states at the Fermi level (states/eV per atom) = 0.634
- crystal system = cubic
- ΔH_f (0 K) (eV per atom) = 0.161

(2)
Density functional theory data (GGA-PBE) for an optimized crystal structure of Hg3Pb8.

Cell lengths 10.0974, 10.0974, 12.2156 Å; angles 90.00, 90.00, 120.00 degrees
Space group R-3 (No. 148, hexagonal axes)
Inequivalent atoms, fractional coordinates:
Hg: 0.0000 0.5000 0.0000 [9 per cell]
Pb: 0.0000 0.0000 0.3631 [6 per cell]
Pb: 0.0010 0.8042 0.8895 [18 per cell]

- ΔE to the lowest computed polymorph (meV/atom) = 104
- density of states at the Fermi level (states/eV per atom) = 0.504
- crystal system = trigonal
- ΔH_f (0 K) (eV per atom) = 0.118

(3)
Density functional theory data (GGA-PBE) for an optimized crystal structure of La2Cu2Te.

Cell lengths 7.870, 7.870, 4.014 Å; angles 90.00, 90.00, 90.00 degrees
Space group P4/mbm (No. 127)
Inequivalent atoms, fractional coordinates:
La: 0.180 0.320 0.000 [4 per cell]
Cu: 0.111 0.611 0.500 [4 per cell]
Te: 0.000 0.000 0.500 [2 per cell]

- ΔE to the lowest computed polymorph (meV/atom) = 0
- density of states at the Fermi level (states/eV per atom) = 0.634
- formation energy without anion corrections (eV/atom) = -0.55
- crystal system = tetragonal

(4)
Density functional theory data (GGA-PBE) for an optimized crystal structure of Pm2HoSb.

Cell lengths 4.221, 4.221, 6.781 Å; angles 90.00, 90.00, 90.00 degrees
Space group P4/mmm (No. 123)
Inequivalent atoms, fractional coordinates:
Pm: 0.000 0.000 0.232 [2 per cell]
Ho: 0.500 0.500 0.500 [1 per cell]
Sb: 0.500 0.500 0.000 [1 per cell]

- ΔE to the lowest computed polymorph (meV/atom) = 44
- density of states at the Fermi level (states/eV per atom) = 1.061
- formation energy without anion corrections (eV/atom) = -0.51
- crystal system = tetragonal

(5)
Density functional theory data (GGA-PBE) for an optimized crystal structure of Rb2LiVCl6.

Cell lengths 7.1422, 7.1422, 6.1045 Å; angles 90.00, 90.00, 120.00 degrees
Space group P-3m1 (No. 164)
Inequivalent atoms, fractional coordinates:
Rb: 0.3333 0.6667 0.2700 [2 per cell]
Li: 0.0000 0.0000 0.0000 [1 per cell]
V: 0.0000 0.0000 0.5000 [1 per cell]
Cl: 0.1566 0.3132 0.7316 [6 per cell]

- ΔE to the lowest computed polymorph (meV/atom) = 0
- density of states at the Fermi level (states/eV per atom) = 1.008
- formation energy without anion corrections (eV/atom) = -1.68
- crystal system = trigonal

(6)
Density functional theory data (GGA-PBE) for an optimized crystal structure of BaCa2Mo2.

Cell lengths 5.995, 5.995, 9.293 Å; angles 90.00, 90.00, 90.00 degrees
Space group I4/mmm (No. 139)
Inequivalent atoms, fractional coordinates:
Ba: 0.000 0.000 0.000 [2 per cell]
Ca: 0.000 0.500 0.250 [4 per cell]
Mo: 0.000 0.000 0.388 [4 per cell]

- ΔE to the lowest computed polymorph (meV/atom) = 121
- density of states at the Fermi level (states/eV per atom) = 0.645
- crystal system = tetragonal
- ΔH_f (0 K) (eV per atom) = 0.832

(7)
Density functional theory data (GGA-PBE) for an optimized crystal structure of PrSc2InAu4.

Cell lengths 4.7381, 4.7381, 27.2112 Å; angles 90.00, 90.00, 120.00 degrees
Space group R-3m (No. 166, hexagonal axes)
Inequivalent atoms, fractional coordinates:
Pr: 0.0000 0.0000 0.0000 [3 per cell]
Sc: 0.0000 0.0000 0.2373 [6 per cell]
In: 0.0000 0.0000 0.5000 [3 per cell]
Au: 0.0000 0.0000 0.1200 [6 per cell]
Au: 0.0000 0.0000 0.3930 [6 per cell]

- density of states at the Fermi level (states/eV per atom) = 0.559
- crystal system = trigonal
- ΔH_f (0 K) (eV per atom) = -0.677

(8)
Density functional theory data (GGA-PBE) for an optimized crystal structure of Rb2SeS2.

Cell lengths 3.704, 3.704, 20.619 Å; angles 90.00, 90.00, 90.00 degrees
Space group I4/mmm (No. 139)
Inequivalent atoms, fractional coordinates:
Rb: 0.000 0.000 0.111 [4 per cell]
Se: 0.000 0.000 0.500 [2 per cell]
S: 0.000 0.500 0.250 [4 per cell]

- ΔE to the lowest computed polymorph (meV/atom) = 320
- density of states at the Fermi level (states/eV per atom) = 0.519
- formation energy without anion corrections (eV/atom) = -0.46
- crystal system = tetragonal

(9)
Density functional theory data (GGA-PBE) for an optimized crystal structure of Ta2ZnI2.

Cell lengths 8.320, 8.320, 3.169 Å; angles 90.00, 90.00, 90.00 degrees
Space group P4/mbm (No. 127)
Inequivalent atoms, fractional coordinates:
Ta: 0.168 0.332 0.000 [4 per cell]
Zn: 0.000 0.000 0.500 [2 per cell]
I: 0.136 0.636 0.500 [4 per cell]

- ΔE to the lowest computed polymorph (meV/atom) = 627
- density of states at the Fermi level (states/eV per atom) = 0.907
- formation energy without anion corrections (eV/atom) = 1.15
- crystal system = tetragonal

(10)
Density functional theory data (GGA-PBE) for an optimized crystal structure of Li4Ag5Au2.

Cell lengths 19.502, 2.808, 6.953 Å; angles 90.00, 94.36, 90.00 degrees
Space group C2/m (No. 12)
Inequivalent atoms, fractional coordinates:
Li: 0.040 0.000 0.353 [4 per cell]
Li: 0.173 0.500 0.479 [4 per cell]
Ag: 0.000 0.500 0.000 [2 per cell]
Ag: 0.135 0.000 0.113 [4 per cell]
Ag: 0.237 0.000 0.810 [4 per cell]
Au: 0.091 0.000 0.709 [4 per cell]

- ΔE to the lowest computed polymorph (meV/atom) = 81
- density of states at the Fermi level (states/eV per atom) = 0.260
- crystal system = monoclinic
- ΔH_f (0 K) (eV per atom) = -0.177

(11)
Density functional theory data (GGA-PBE) for an optimized crystal structure of TaNb3Au.

Cell lengths 4.904, 4.904, 4.904 Å; angles 90.00, 90.00, 90.00 degrees
Space group Pm-3m (No. 221)
Inequivalent atoms, fractional coordinates:
Ta: 0.000 0.000 0.000 [1 per cell]
Nb: 0.000 0.500 0.500 [3 per cell]
Au: 0.500 0.500 0.500 [1 per cell]

- ΔE to the lowest computed polymorph (meV/atom) = 1519
- density of states at the Fermi level (states/eV per atom) = 1.495
- crystal system = cubic
- ΔH_f (0 K) (eV per atom) = 1.727

(12)
Density functional theory data (GGA-PBE) for an optimized crystal structure of Li2MoRu.

Cell lengths 2.975, 4.458, 9.389 Å; angles 90.00, 90.00, 90.00 degrees
Space group Cmm2 (No. 35)
Inequivalent atoms, fractional coordinates:
Li: 0.000 0.000 0.000 [2 per cell]
Li: 0.000 0.500 0.280 [2 per cell]
Mo: 0.000 0.000 0.538 [2 per cell]
Ru: 0.000 0.500 0.767 [2 per cell]

- ΔE to the lowest computed polymorph (meV/atom) = 0
- density of states at the Fermi level (states/eV per atom) = 0.834
- crystal system = orthorhombic
- ΔH_f (0 K) (eV per atom) = 0.203

(13)
Density functional theory data (GGA-PBE) for an optimized crystal structure of DyZrIr.

Cell lengths 6.621, 6.621, 6.621 Å; angles 90.00, 90.00, 90.00 degrees
Space group F-43m (No. 216)
Inequivalent atoms, fractional coordinates:
Dy: 0.000 0.000 0.000 [4 per cell]
Zr: 0.000 0.000 0.500 [4 per cell]
Ir: 0.250 0.250 0.250 [4 per cell]

- ΔE to the lowest computed polymorph (meV/atom) = 156
- density of states at the Fermi level (states/eV per atom) = 0.916
- crystal system = cubic
- ΔH_f (0 K) (eV per atom) = -0.536

(14)
Density functional theory data (GGA-PBE) for an optimized crystal structure of Ca5Ni9As7.

Cell lengths 10.2203, 10.2203, 3.9628 Å; angles 90.00, 90.00, 120.00 degrees
Space group P-6 (No. 174)
Inequivalent atoms, fractional coordinates:
Ca: 0.0000 0.0000 0.0000 [1 per cell]
Ca: 0.0945 0.5550 0.5000 [3 per cell]
Ca: 0.6667 0.3333 0.5000 [1 per cell]
Ni: 0.1529 0.3716 0.0000 [3 per cell]
Ni: 0.2746 0.0681 0.5000 [3 per cell]
Ni: 0.3222 0.2578 0.0000 [3 per cell]
As: 0.0618 0.8170 0.5000 [3 per cell]
As: 0.3333 0.6667 0.0000 [1 per cell]
As: 0.4244 0.1016 0.0000 [3 per cell]

- density of states at the Fermi level (states/eV per atom) = 0.672
- crystal system = hexagonal
- ΔH_f (0 K) (eV per atom) = -0.650

(15)
Density functional theory data (GGA-PBE) for an optimized crystal structure of Er12AlIn3.

Cell lengths 4.777, 4.777, 19.153 Å; angles 90.00, 90.00, 90.00 degrees
Space group P4/mmm (No. 123)
Inequivalent atoms, fractional coordinates:
Er: 0.000 0.000 0.000 [1 per cell]
Er: 0.000 0.000 0.248 [2 per cell]
Er: 0.000 0.000 0.500 [1 per cell]
Er: 0.000 0.500 0.120 [4 per cell]
Er: 0.000 0.500 0.374 [4 per cell]
Al: 0.500 0.500 0.000 [1 per cell]
In: 0.500 0.500 0.248 [2 per cell]
In: 0.500 0.500 0.500 [1 per cell]

- density of states at the Fermi level (states/eV per atom) = 1.258
- crystal system = tetragonal
- ΔH_f (0 K) (eV per atom) = -0.244

(16)
Density functional theory data (GGA-PBE) for an optimized crystal structure of PtBrCl2.

Cell lengths 8.765, 8.765, 5.316 Å; angles 90.00, 90.00, 90.00 degrees
Space group I-42d (No. 122)
Inequivalent atoms, fractional coordinates:
Pt: 0.000 0.000 0.000 [4 per cell]
Br: 0.000 0.000 0.500 [4 per cell]
Cl: 0.100 0.250 0.125 [8 per cell]

- ΔE to the lowest computed polymorph (meV/atom) = 331
- density of states at the Fermi level (states/eV per atom) = 0.825
- formation energy without anion corrections (eV/atom) = 0.05
- crystal system = tetragonal

(17)
Density functional theory data (GGA-PBE) for an optimized crystal structure of ZnCo2Ni2.

Cell lengths 6.919, 6.919, 2.525 Å; angles 90.00, 90.00, 90.00 degrees
Space group P4/mbm (No. 127)
Inequivalent atoms, fractional coordinates:
Zn: 0.000 0.000 0.000 [2 per cell]
Co: 0.121 0.379 0.000 [4 per cell]
Ni: 0.174 0.674 0.500 [4 per cell]

- ΔE to the lowest computed polymorph (meV/atom) = 0
- density of states at the Fermi level (states/eV per atom) = 1.866
- crystal system = tetragonal
- ΔH_f (0 K) (eV per atom) = 0.134

(18)
Density functional theory data (GGA-PBE) for an optimized crystal structure of Li2PmBiO4.

Cell lengths 5.614, 3.668, 6.052 Å; angles 90.00, 90.04, 90.00 degrees
Space group P2/m (No. 10)
Inequivalent atoms, fractional coordinates:
Li: 0.000 0.000 0.000 [1 per cell]
Li: 0.000 0.500 0.500 [1 per cell]
Pm: 0.500 0.000 0.500 [1 per cell]
Bi: 0.500 0.500 0.000 [1 per cell]
O: 0.279 0.000 0.831 [2 per cell]
O: 0.286 0.500 0.342 [2 per cell]

- density of states at the Fermi level (states/eV per atom) = 0.000
- formation energy without anion corrections (eV/atom) = -2.03
- crystal system = monoclinic

(19)
Density functional theory data (GGA-PBE) for an optimized crystal structure of LiPrSe2O8.

Cell lengths 5.4439, 5.4439, 6.9448 Å; angles 90.00, 90.00, 120.00 degrees
Space group P-3m1 (No. 164)
Inequivalent atoms, fractional coordinates:
Li: 0.0000 0.0000 0.0000 [1 per cell]
Pr: 0.0000 0.0000 0.5000 [1 per cell]
Se: 0.3333 0.6667 0.7173 [2 per cell]
O: 0.1641 0.3282 0.7870 [6 per cell]
O: 0.3333 0.6667 0.4754 [2 per cell]

- density of states at the Fermi level (states/eV per atom) = 0.000
- formation energy without anion corrections (eV/atom) = -1.46
- crystal system = trigonal

(20)
Density functional theory data (GGA-PBE) for an optimized crystal structure of MnIrS2.

Cell lengths 3.5775, 3.5775, 20.9808 Å; angles 90.00, 90.00, 120.00 degrees
Space group R-3m (No. 166, hexagonal axes)
Inequivalent atoms, fractional coordinates:
Mn: 0.0000 0.0000 0.0000 [3 per cell]
Ir: 0.0000 0.0000 0.5000 [3 per cell]
S: 0.0000 0.0000 0.1103 [6 per cell]

- ΔE to the lowest computed polymorph (meV/atom) = 135
- density of states at the Fermi level (states/eV per atom) = 0.112
- formation energy without anion corrections (eV/atom) = -0.10
- crystal system = trigonal